VASP calculation (GGA-PBE) on Cd2TeCl after structural relaxation.

For the relative energy among the computed polymorphs, the calculation gives 113 meV per atom. The crystal system is orthorhombic. As for the uncorrected formation energy: -354 meV/atom. Its spin magnetization is 0.00 μB per cell. The density of states at the Fermi level comes out at 0.506 states/eV/atom.

It has space group Amm2 (No. 38), with a = 4.5145 Å, b = 5.8810 Å, c = 8.7067 Å, α = 90.00°, β = 90.00° and γ = 90.00°. The asymmetric unit holds Cd at (0.0000, 0.0000, 0.0000), Cd at (0.5000, 0.0000, 0.2691), Te at (0.5000, 0.0000, 0.8007) and Cl at (0.0000, 0.0000, 0.4760).